# Ba2PO4 | Alexandria via LeMat-Bulk | PBE-GGA | relaxed
# Formation energy from raw total energies, eV/atom: -2.5353
# Total DFT energy (no corrections), eV per atom: -6.691
data_Ba2PO4
_space_group_name_H-M_alt 'P 1 21/m 1'
_space_group_IT_number 11
_cell_length_a 6.375
_cell_length_b 5.554
_cell_length_c 8.130
_cell_angle_alpha 90.00
_cell_angle_beta 90.05
_cell_angle_gamma 90.00
loop_
_space_group_symop_operation_xyz
'x,y,z'
'-x,-y,-z'
'-x,y+1/2,-z'
'x,-y+1/2,z'
loop_
_atom_site_label
_atom_site_fract_x
_atom_site_fract_y
_atom_site_fract_z
_atom_site_occupancy
Ba1 0.244 0.250 0.002 1
Ba2 0.244 0.250 0.498 1
P1 0.297 0.750 0.750 1
O1 0.163 0.750 0.911 1
O2 0.164 0.750 0.589 1
O3 0.441 0.522 0.750 1

=====

# Ba12P3O5 | Alexandria via LeMat-Bulk | PBE-GGA | relaxed
# Formation energy from raw total energies, eV/atom: -1.5096
# Total DFT energy (no corrections), eV per atom: -4.714
data_Ba12P3O5
_space_group_name_H-M_alt 'I a -3 d'
_space_group_IT_number 230
_space_group_name_Hall '-I 4bd 2c 3'
_cell_length_a 17.368
_cell_length_b 17.368
_cell_length_c 17.368
_cell_angle_alpha 90.00
_cell_angle_beta 90.00
_cell_angle_gamma 90.00
loop_
_atom_site_label
_atom_site_fract_x
_atom_site_fract_y
_atom_site_fract_z
_atom_site_occupancy
Ba1 0.030 0.054 0.652 1
P1 0.000 0.250 0.125 1
O1 0.000 0.000 0.000 1
O2 0.000 0.250 0.375 1

=====

# Ba8P3O4 | Alexandria via LeMat-Bulk | PBE-GGA | relaxed
# Formation energy from raw total energies, eV/atom: -1.5220
# Total DFT energy (no corrections), eV per atom: -4.952
data_Ba8P3O4
_space_group_name_H-M_alt 'C 1 2/m 1'
_space_group_IT_number 12
_cell_length_a 12.124
_cell_length_b 12.253
_cell_length_c 8.526
_cell_angle_alpha 90.00
_cell_angle_beta 133.39
_cell_angle_gamma 90.00
loop_
_space_group_symop_operation_xyz
'x,y,z'
'-x,-y,-z'
'-x,y,-z'
'x,-y,z'
'x+1/2,y+1/2,z'
'-x+1/2,-y+1/2,-z'
'-x+1/2,y+1/2,-z'
'x+1/2,-y+1/2,z'
loop_
_atom_site_label
_atom_site_fract_x
_atom_site_fract_y
_atom_site_fract_z
_atom_site_occupancy
Ba1 0.000 0.232 0.000 1
Ba2 0.000 0.241 0.500 1
Ba3 0.206 0.000 0.451 1
Ba4 0.228 0.000 0.992 1
P1 0.000 0.500 0.500 1
P2 0.250 0.250 0.500 1
O1 0.000 0.000 0.000 1
O2 0.000 0.000 0.500 1
O3 0.250 0.250 0.000 1